No. 1
PmGdY PBE-GGA relaxed; symmetry = P3m1, No. 156; energy relative to the elements = 2 kJ per mole of atoms; final energy = -8.415 eV per atom
1.0
-1.439 -2.613 2.036
-0.676 0.105 -3.547
7.051 -5.045 -1.492
Y Gd Pm
1 1 1
direct
0.667 0.333 0.333
0.000 0.000 0.001
0.333 0.667 0.666

No. 2
BaCd3Pd2 PBE-GGA relaxed; symmetry = C2/m, No. 12; energy relative to the elements = -39 kJ per mole of atoms; final energy = -2.910 eV per atom; polymorph energy (0 for the lowest one) = 0.022 eV per atom
1.0
-4.489 -1.119 0.318
3.802 -3.752 6.663
-2.030 8.488 1.206
Ba Cd Pd
2 6 4
direct
0.852 0.704 0.915
0.148 0.296 0.085
0.319 0.637 0.546
0.978 0.955 0.652
0.606 0.212 0.709
0.394 0.788 0.291
0.022 0.045 0.348
0.681 0.363 0.454
0.482 0.963 0.837
0.518 0.037 0.163
0.821 0.641 0.348
0.179 0.359 0.652

No. 3
La4Tb2ErTm2 PBE-GGA relaxed; symmetry = C2/m, No. 12; energy relative to the elements = 3 kJ per mole of atoms; final energy = -4.688 eV per atom
1.0
3.631 0.000 0.000
-1.816 9.261 1.645
0.000 -1.546 8.732
La Tb Er Tm
4 2 1 2
direct
0.777 0.554 0.674
0.223 0.446 0.326
0.555 0.111 0.327
0.445 0.889 0.673
0.889 0.778 0.327
0.111 0.222 0.673
0.000 0.000 0.000
0.334 0.668 0.002
0.666 0.332 0.998

No. 4
Rb3ThSn2Se6 PBE-GGA relaxed; symmetry = C2/m, No. 12; final energy = -4.364 eV per atom; formation energy (no corrections) = -1.095 eV per atom
1.0
-1.093 -4.444 -6.032
5.876 4.772 0.168
2.906 -5.762 5.297
Rb Th Sn Se
3 1 2 6
direct
0.171 0.829 0.500
0.829 0.171 0.500
0.500 0.500 0.500
0.000 0.000 0.000
0.334 0.666 0.000
0.666 0.334 0.000
0.934 0.607 0.803
0.739 0.739 0.199
0.066 0.393 0.197
0.607 0.934 0.803
0.261 0.261 0.801
0.393 0.066 0.197

No. 5
KSn PBE-GGA relaxed; symmetry = P6_3/mmc, No. 194; energy relative to the elements = 61 kJ per mole of atoms; final energy = -1.921 eV per atom
1.0
6.131 0.000 0.000
-3.066 5.310 0.000
0.000 0.000 7.007
K Sn
2 2
direct
0.333 0.667 0.250
0.667 0.333 0.750
0.333 0.667 0.750
0.667 0.333 0.250

No. 6
Ba3ZnAg2 PBE-GGA relaxed; symmetry = Pnma, No. 62; energy relative to the elements = -22 kJ per mole of atoms; final energy = -2.350 eV per atom
1.0
-4.566 1.330 -0.621
-2.948 -4.134 12.812
2.972 12.391 4.682
Ba Zn Ag
12 4 8
direct
0.250 0.374 0.056
0.750 0.626 0.944
0.750 0.874 0.444
0.250 0.126 0.556
0.250 0.697 0.212
0.750 0.303 0.788
0.750 0.197 0.288
0.250 0.803 0.712
0.250 0.440 0.379
0.750 0.560 0.621
0.750 0.940 0.121
0.250 0.060 0.879
0.250 0.131 0.122
0.750 0.869 0.878
0.750 0.631 0.378
0.250 0.369 0.622
0.250 0.683 0.469
0.750 0.317 0.531
0.750 0.183 0.031
0.250 0.817 0.969
0.250 0.012 0.299
0.750 0.988 0.701
0.750 0.512 0.201
0.250 0.488 0.799

> Which formula does entry 4 have?

Rb3ThSn2Se6